## P
## AcCuHg (GGA-PBE)

Data for a relaxed structure of AcCuHg.

Unit cell a=4.935 b=4.935 c=4.935 alpha=60.00 beta=60.00 gamma=60.00
Positions (direct):
Ac 0.000 0.000 0.000
Cu 0.750 0.750 0.750
Hg 0.500 0.500 0.500

Values from the calculation:
total magnetic moment	0.000	μB per cell



## Q
## AcCuHg (GGA-PBE)

Data for a relaxed structure of AcCuHg.

Unit cell a=4.761 b=4.761 c=4.038 alpha=90.00 beta=90.00 gamma=120.00
Positions (direct):
Ac 0.000 0.000 0.000
Cu 0.333 0.667 0.500
Hg 0.667 0.333 0.500

Values from the calculation:
total magnetic moment	0.000	μB per cell



Short version: P is the least stable of them.



## P
## Ac2Cu2Hg (GGA-PBE)

Data for a relaxed structure of Ac2Cu2Hg.

Unit cell a=7.962 b=7.962 c=4.068 alpha=90.00 beta=90.00 gamma=148.41
Positions (direct):
Ac 0.131 0.869 0.000
Ac 0.869 0.131 0.000
Cu 0.292 0.708 0.500
Cu 0.708 0.292 0.500
Hg 0.500 0.500 0.500

Values from the calculation:
total magnetic moment	0.000	μB per cell



## Q
## Ac2Cu2Hg (GGA-PBE)

Data for a relaxed structure of Ac2Cu2Hg.

Unit cell a=6.533 b=6.533 c=11.409 alpha=116.83 beta=116.83 gamma=38.99
Positions (direct):
Ac 0.004 0.004 0.329
Ac 0.183 0.183 0.104
Ac 0.817 0.817 0.896
Ac 0.996 0.996 0.671
Cu 0.381 0.381 0.442
Cu 0.488 0.488 0.108
Cu 0.512 0.512 0.892
Cu 0.619 0.619 0.558
Hg 0.272 0.272 0.638
Hg 0.728 0.728 0.362

Values from the calculation:
total magnetic moment	0.000	μB per cell



Short version: Q is the least stable of them.



## P
## AcCuHg3 (GGA-PBE)

Data for a relaxed structure of AcCuHg3.

Unit cell a=5.100 b=5.100 c=5.100 alpha=90.00 beta=90.00 gamma=90.00
Positions (direct):
Ac 0.000 0.000 0.000
Cu 0.500 0.500 0.500
Hg 0.000 0.500 0.500
Hg 0.500 0.000 0.500
Hg 0.500 0.500 0.000

Values from the calculation:
total magnetic moment	0.000	μB per cell



## Q
## AcCuHg3 (GGA-PBE)

Data for a relaxed structure of AcCuHg3.

Unit cell a=9.984 b=5.301 c=9.433 alpha=90.00 beta=90.00 gamma=90.00
Positions (direct):
Ac 0.235 0.250 0.019
Ac 0.265 0.750 0.519
Ac 0.735 0.250 0.481
Ac 0.765 0.750 0.981
Cu 0.142 0.250 0.689
Cu 0.358 0.750 0.189
Cu 0.642 0.250 0.811
Cu 0.858 0.750 0.311
Hg 0.079 0.250 0.408
Hg 0.091 0.750 0.184
Hg 0.104 0.750 0.843
Hg 0.396 0.250 0.343
Hg 0.409 0.250 0.684
Hg 0.421 0.750 0.908
Hg 0.579 0.250 0.092
Hg 0.591 0.750 0.316
Hg 0.604 0.750 0.657
Hg 0.896 0.250 0.157
Hg 0.909 0.250 0.816
Hg 0.921 0.750 0.592

Values from the calculation:
total magnetic moment	0.000	μB per cell



Short version: P is the least stable of them.



## P
## Ac3CuHg2 (GGA-PBE)

Data for a relaxed structure of Ac3CuHg2.

Unit cell a=8.852 b=8.852 c=3.972 alpha=90.00 beta=90.00 gamma=142.73
Positions (direct):
Ac 0.000 0.000 0.000
Ac 0.344 0.656 0.000
Ac 0.656 0.344 0.000
Cu 0.500 0.500 0.500
Hg 0.173 0.827 0.500
Hg 0.827 0.173 0.500

Values from the calculation:
total magnetic moment	0.001	μB per cell



## Q
## Ac3CuHg2 (GGA-PBE)

Data for a relaxed structure of Ac3CuHg2.

Unit cell a=8.645 b=8.645 c=7.995 alpha=101.76 beta=101.76 gamma=44.03
Positions (direct):
Ac 0.069 0.931 0.750
Ac 0.287 0.414 0.960
Ac 0.414 0.287 0.460
Ac 0.586 0.713 0.540
Ac 0.713 0.586 0.040
Ac 0.931 0.069 0.250
Cu 0.431 0.569 0.250
Cu 0.569 0.431 0.750
Hg 0.106 0.252 0.634
Hg 0.252 0.106 0.134
Hg 0.748 0.894 0.866
Hg 0.894 0.748 0.366

Values from the calculation:
total magnetic moment	0.000	μB per cell



Short version: Q is the least stable of them.



## P
## Ac4CuHg (GGA-PBE)

Data for a relaxed structure of Ac4CuHg.

Unit cell a=5.430 b=5.430 c=7.798 alpha=90.01 beta=90.01 gamma=90.00
Positions (direct):
Ac 0.249 0.750 0.472
Ac 0.250 0.750 0.000
Ac 0.750 0.249 0.472
Ac 0.750 0.250 0.000
Cu 0.251 0.251 0.237
Hg 0.750 0.750 0.736

Values from the calculation:
total magnetic moment	0.001	μB per cell



## Q
## Ac4CuHg (GGA-PBE)

Data for a relaxed structure of Ac4CuHg.

Unit cell a=3.927 b=3.927 c=13.821 alpha=90.00 beta=90.00 gamma=90.00
Positions (direct):
Ac 0.000 0.000 0.132
Ac 0.000 0.000 0.868
Ac 0.500 0.500 0.349
Ac 0.500 0.500 0.651
Cu 0.500 0.500 0.000
Hg 0.000 0.000 0.500

Values from the calculation:
total magnetic moment	0.000	μB per cell



Short version: P is the least stable of them.



## P
## AcHoCu4 (GGA-PBE)

Data for a relaxed structure of AcHoCu4.

Unit cell a=5.424 b=5.424 c=5.424 alpha=60.00 beta=60.00 gamma=60.00
Positions (direct):
Ac 0.000 0.000 0.000
Ho 0.250 0.250 0.250
Cu 0.134 0.622 0.622
Cu 0.622 0.134 0.622
Cu 0.622 0.622 0.134
Cu 0.622 0.622 0.622

Values from the calculation:
total magnetic moment	0.000	μB per cell



## Q
## AcHoCu4 (GGA-PBE)

Data for a relaxed structure of AcHoCu4.

Unit cell a=5.808 b=5.808 c=5.808 alpha=137.82 beta=97.65 gamma=97.23
Positions (direct):
Ac 0.000 0.000 0.000
Ho 0.500 0.000 0.500
Cu 0.105 0.337 0.768
Cu 0.430 0.663 0.768
Cu 0.570 0.337 0.232
Cu 0.895 0.663 0.232

Values from the calculation:
total magnetic moment	0.000	μB per cell



Short version: P is the least stable of them.